Arrangement i

{"formula": "CeRuAu", "functional": "GGA-PBE", "state": "relaxed", "lattice": [[-1.916, 1.916, 9.537], [1.916, -1.916, 9.537], [1.916, 1.916, -9.537]], "species": ["Ce", "Ce", "Ru", "Ru", "Au", "Au"], "fractional_positions": [[0.150, 0.150, 0.000], [0.850, 0.850, 0.000], [0.273, 0.273, 0.000], [0.727, 0.727, 0.000], [0.430, 0.430, 0.000], [0.570, 0.570, 0.000]], "space_group": "I4/mmm, No. 139", "mass_density_g_cm3": 10.39}

Arrangement ii

{"formula": "CeRuAu", "functional": "GGA-PBE", "state": "relaxed", "lattice": [[-2.013, 2.013, 4.059], [2.013, -2.013, 4.059], [2.013, 2.013, -4.059]], "species": ["Ce", "Ru", "Au"], "fractional_positions": [[0.000, 0.000, 0.000], [0.724, 0.724, 0.000], [0.363, 0.363, 0.000]], "space_group": "I4mm, No. 107", "mass_density_g_cm3": 11.06}

Energies relative to the minimum, meV per atom: arrangement i 0; arrangement ii 22